No. 1
Compound: CsCd4Au3
Source: Alexandria
Functional: PBE
Structure: optimized geometry

Output
- SG = P4/mmm (123)
- ΔE_f (eV/f.u.) = -1.5

a = 4.817 Å, b = 4.817 Å, c = 9.273 Å
α = 90.00°, β = 90.00°, γ = 90.00°
Atoms (fractional coordinates):
Cs 0.000 0.000 0.500
Au 0.000 0.000 0.000
Au 0.500 0.500 0.344
Au 0.500 0.500 0.656
Cd 0.500 0.000 0.168
Cd 0.000 0.500 0.168
Cd 0.500 0.000 0.832
Cd 0.000 0.500 0.832

***

No. 2
Compound: Cs2Cd2Au3
Source: Alexandria
Functional: PBE
Structure: optimized geometry

Output
- SG = P2_1/c (14)
- ΔE_f (eV/f.u.) = -1.6
- energy above the lowest structure with this stoichiometry (eV/f.u.) = 0.000

a = 7.821 Å, b = 7.749 Å, c = 9.629 Å
α = 90.00°, β = 63.08°, γ = 90.00°
Atoms (fractional coordinates):
Cs 0.194 0.098 0.599
Cs 0.806 0.598 0.901
Cs 0.806 0.902 0.401
Cs 0.194 0.402 0.099
Cd 0.364 0.907 0.952
Cd 0.636 0.407 0.548
Cd 0.636 0.093 0.048
Cd 0.364 0.593 0.452
Au 0.389 0.676 0.727
Au 0.611 0.176 0.773
Au 0.611 0.324 0.273
Au 0.389 0.824 0.227
Au 0.000 0.000 0.000
Au 0.000 0.500 0.500

***

No. 3
Compound: Cs2Cd6Au
Source: Alexandria
Functional: PBE
Structure: optimized geometry

Output
- SG = C2/m (12)
- ΔE_f (eV/f.u.) = -0.6

a = 7.028 Å, b = 6.853 Å, c = 6.853 Å
α = 59.82°, β = 90.02°, γ = 90.02°
Atoms (fractional coordinates):
Cs 0.865 0.668 0.668
Cs 0.135 0.332 0.332
Cd 0.332 0.333 0.832
Cd 0.333 0.834 0.834
Cd 0.332 0.832 0.333
Cd 0.668 0.667 0.168
Cd 0.667 0.166 0.166
Cd 0.668 0.168 0.667
Au 0.000 0.000 0.000

***

No. 4
Compound: CsCd2Au2
Source: Alexandria
Functional: PBE
Structure: optimized geometry

Output
- SG = I4/mmm (139)
- ΔE_f (eV/f.u.) = -0.9
- energy above the lowest structure with this stoichiometry (eV/f.u.) = 0.111

a = 5.220 Å, b = 5.220 Å, c = 6.566 Å
α = 66.57°, β = 66.57°, γ = 90.00°
Atoms (fractional coordinates):
Cs 0.000 0.000 0.000
Au 0.750 0.250 0.500
Au 0.250 0.750 0.500
Cd 0.362 0.362 0.276
Cd 0.638 0.638 0.724

***

No. 5
Compound: Cs2Cd3Au
Source: Alexandria
Functional: PBE
Structure: optimized geometry

Output
- SG = Cm (8)
- ΔE_f (eV/f.u.) = -0.9
- energy above the lowest structure with this stoichiometry (eV/f.u.) = 0.000

a = 7.324 Å, b = 7.324 Å, c = 8.680 Å
α = 53.84°, β = 53.84°, γ = 40.06°
Atoms (fractional coordinates):
Cs 0.418 0.418 0.309
Cs 0.575 0.575 0.710
Cd 0.123 0.123 0.322
Cd 0.245 0.245 0.878
Cd 0.764 0.764 0.097
Au 0.874 0.874 0.684

***

No. 6
Compound: Cs3Cd2Au3
Source: Alexandria
Functional: PBE
Structure: optimized geometry

Output
- SG = Cmcm (63)
- ΔE_f (eV/f.u.) = -2.0
- energy above the lowest structure with this stoichiometry (eV/f.u.) = 0.080

a = 5.245 Å, b = 7.183 Å, c = 17.319 Å
α = 90.00°, β = 90.00°, γ = 111.41°
Atoms (fractional coordinates):
Cs 0.919 0.838 0.396
Cs 0.081 0.162 0.896
Cs 0.919 0.838 0.104
Cs 0.081 0.162 0.604
Cs 0.616 0.231 0.250
Cs 0.384 0.769 0.750
Cd 0.785 0.570 0.905
Cd 0.215 0.430 0.405
Cd 0.785 0.570 0.595
Cd 0.215 0.430 0.095
Au 0.657 0.314 0.454
Au 0.343 0.686 0.954
Au 0.657 0.314 0.046
Au 0.343 0.686 0.546
Au 0.299 0.599 0.250
Au 0.701 0.401 0.750

***

No. 7
Compound: Cs3CdAu
Source: Alexandria
Functional: PBE
Structure: optimized geometry

Output
- SG = Pm-3m (221)
- ΔE_f (eV/f.u.) = -0.3
- energy above the lowest structure with this stoichiometry (eV/f.u.) = 0.489

a = 6.956 Å, b = 6.956 Å, c = 6.956 Å
α = 90.00°, β = 90.00°, γ = 90.00°
Atoms (fractional coordinates):
Cs 0.000 0.500 0.000
Cs 0.000 0.000 0.500
Cs 0.500 0.000 0.000
Au 0.000 0.000 0.000
Cd 0.500 0.500 0.500

***

No. 8
Compound: Cs8Cd6Au
Source: Alexandria
Functional: PBE
Structure: optimized geometry

Output
- SG = R-3 (148)
- ΔE_f (eV/f.u.) = -0.4

a = 10.119 Å, b = 10.119 Å, c = 10.119 Å
α = 74.67°, β = 74.67°, γ = 74.67°
Atoms (fractional coordinates):
Cs 0.841 0.321 0.128
Cs 0.872 0.159 0.679
Cs 0.679 0.872 0.159
Cs 0.330 0.330 0.330
Cs 0.670 0.670 0.670
Cs 0.321 0.128 0.841
Cs 0.128 0.841 0.321
Cs 0.159 0.679 0.872
Cd 0.943 0.522 0.370
Cd 0.630 0.057 0.478
Cd 0.478 0.630 0.057
Cd 0.522 0.370 0.943
Cd 0.370 0.943 0.522
Cd 0.057 0.478 0.630
Au 0.000 0.000 0.000

***

No. 9
Compound: CsCd2CuAu
Source: Alexandria
Functional: PBE
Structure: optimized geometry

Output
- SG = P4/mmm (123)
- ΔE_f (eV/f.u.) = 0.1

a = 5.235 Å, b = 5.235 Å, c = 5.316 Å
α = 90.00°, β = 90.00°, γ = 90.00°
Atoms (fractional coordinates):
Cs 0.500 0.500 0.500
Au 0.000 0.000 0.500
Cu 0.000 0.000 0.000
Cd 0.000 0.500 0.000
Cd 0.500 0.000 0.000

***

No. 10
Compound: CsCd2AuF
Source: Alexandria
Functional: PBE
Structure: optimized geometry

Output
- SG = P4/mmm (123)
- formation energy from raw total energies (eV/atom) = -0.69

a = 5.269 Å, b = 7.273 Å, c = 5.269 Å
α = 90.00°, β = 90.00°, γ = 90.00°
Atoms (fractional coordinates):
Cs 0.000 0.500 0.000
F 0.500 0.500 0.500
Au 0.000 0.000 0.000
Cd 0.000 0.000 0.500
Cd 0.500 0.000 0.000

***

No. 11
Compound: Cs8CdAu2F
Source: Alexandria
Functional: PBE
Structure: optimized geometry

Output
- SG = P-1 (2)
- formation energy from raw total energies (eV/atom) = -0.50

a = 8.630 Å, b = 8.470 Å, c = 10.541 Å
α = 89.92°, β = 90.03°, γ = 87.10°
Atoms (fractional coordinates):
Cs 0.166 0.782 0.206
Cs 0.704 0.747 0.000
Cs 0.833 0.219 0.206
Cs 0.834 0.218 0.794
Cs 0.296 0.253 0.000
Cs 0.167 0.781 0.794
Cs 0.644 0.714 0.500
Cs 0.356 0.286 0.500
Cd 0.000 0.000 0.500
Au 0.500 0.500 0.778
Au 0.500 0.500 0.222
F 0.000 0.000 0.000

***

No. 12
Compound: Cs2CdAuF
Source: Alexandria
Functional: PBE
Structure: optimized geometry

Output
- SG = P4/mmm (123)
- formation energy from raw total energies (eV/atom) = -0.69

a = 6.955 Å, b = 5.252 Å, c = 6.955 Å
α = 90.00°, β = 90.00°, γ = 90.00°
Atoms (fractional coordinates):
Cs 0.000 0.000 0.500
Cs 0.500 0.000 0.000
F 0.500 0.500 0.500
Au 0.000 0.500 0.000
Cd 0.000 0.000 0.000